# 1
VASP calculation (meta-GGA SCAN) on CdPAuS2 at its PBEsol-relaxed geometry.

Geometry as CIF:
```
data_CdPAuS2
_chemical_formula_sum 'Cd1 P1 Au1 S2'
_cell_length_a 4.842
_cell_length_b 4.842
_cell_length_c 4.894
_cell_angle_alpha 90.00
_cell_angle_beta 90.00
_cell_angle_gamma 90.00
_symmetry_space_group_name_H-M 'P 1'
_symmetry_Int_Tables_number 1
loop_
_symmetry_equiv_pos_as_xyz
'x,y,z'
loop_
_atom_site_label
_atom_site_type_symbol
_atom_site_fract_x
_atom_site_fract_y
_atom_site_fract_z
P1 P 0.000 0.000 0.500
S1 S 0.000 0.500 0.000
S2 S 0.500 0.000 0.000
Au1 Au 0.500 0.500 0.500
Cd1 Cd 0.000 0.000 0.000
```

Raw total energy   -24.620 eV/atom
ΔE_f (raw)   1.226 eV per atom

# 2
VASP calculation (meta-GGA SCAN) on InTcAs2W at its PBEsol-relaxed geometry.

Geometry as CIF:
```
data_InTcAs2W
_chemical_formula_sum 'In1 Tc1 As2 W1'
_cell_length_a 4.891
_cell_length_b 4.902
_cell_length_c 4.902
_cell_angle_alpha 90.00
_cell_angle_beta 90.00
_cell_angle_gamma 90.00
_symmetry_space_group_name_H-M 'P 1'
_symmetry_Int_Tables_number 1
loop_
_symmetry_equiv_pos_as_xyz
'x,y,z'
loop_
_atom_site_label
_atom_site_type_symbol
_atom_site_fract_x
_atom_site_fract_y
_atom_site_fract_z
As1 As 0.000 0.000 0.500
As2 As 0.000 0.500 0.000
Tc1 Tc 0.500 0.000 0.000
W1 W 0.500 0.500 0.500
In1 In 0.000 0.000 0.000
```

Raw total energy   -33.404 eV/atom
E_form   2298.8 meV per atom

Among the records above, which one has the lowest raw total energy? InTcAs2W

raw total energy of number 2 (InTcAs2W)? -33.404 eV/atom

The lowest raw total energy belongs to which entry? InTcAs2W

raw total energy of number 2 (InTcAs2W)? -33.404 eV/atom